Entry 1:
Dy4Y3In2 | PBE | relaxed

a b c (Å): 6.802 6.802 8.409
angles (deg): 104.08 104.08 45.80
Positions (direct):
Dy (0.122, 0.122, 0.157)
Dy (0.330, 0.330, 0.536)
Dy (0.670, 0.670, 0.464)
Dy (0.878, 0.878, 0.843)
Y (0.000, 0.000, 0.500)
Y (0.423, 0.423, 0.154)
Y (0.577, 0.577, 0.846)
In (0.212, 0.212, 0.817)
In (0.788, 0.788, 0.183)

Properties
Density of states at the Fermi level = 1.065 states/eV/atom
SG = No. 12
Uncorrected energy = -45.16 eV/cell
Formation enthalpy at 0 K = -0.21 eV/atom
Volume = 269 Å³/cell

Entry 2:
Dy6Y12In | PBE | relaxed

a b c (Å): 8.482 8.482 8.482
angles (deg): 88.68 88.68 88.68
Positions (direct):
Dy (0.207, 0.596, 0.758)
Dy (0.242, 0.793, 0.404)
Dy (0.404, 0.242, 0.793)
Dy (0.596, 0.758, 0.207)
Dy (0.758, 0.207, 0.596)
Dy (0.793, 0.404, 0.242)
Y (0.039, 0.281, 0.934)
Y (0.066, 0.961, 0.719)
Y (0.137, 0.319, 0.487)
Y (0.281, 0.934, 0.039)
Y (0.319, 0.487, 0.137)
Y (0.487, 0.137, 0.319)
Y (0.513, 0.863, 0.681)
Y (0.681, 0.513, 0.863)
Y (0.719, 0.066, 0.961)
Y (0.863, 0.681, 0.513)
Y (0.934, 0.039, 0.281)
Y (0.961, 0.719, 0.066)
In (0.500, 0.500, 0.500)

Properties
Density of states at the Fermi level = 1.511 states/eV/atom
Energy above the lowest structure with this stoichiometry = 0 meV per atom
SG = No. 148
Uncorrected energy = -106.71 eV/cell
Formation enthalpy at 0 K = 0.06 eV/atom
Volume = 610 Å³/cell

Entry 3:
DyY2Zn2In2 | PBE | relaxed

a b c (Å): 9.526 9.526 9.526
angles (deg): 28.54 28.54 28.54
Positions (direct):
Dy (0.000, 0.000, 0.000)
Y (0.127, 0.127, 0.127)
Y (0.873, 0.873, 0.873)
Zn (0.394, 0.394, 0.394)
Zn (0.606, 0.606, 0.606)
In (0.263, 0.263, 0.263)
In (0.737, 0.737, 0.737)

Properties
Density of states at the Fermi level = 0.443 states/eV/atom
SG = No. 166
Uncorrected energy = -27.60 eV/cell
Formation enthalpy at 0 K = -0.29 eV/atom
Volume = 174 Å³/cell

Entry 4:
DyYZrIn | PBE | relaxed

a b c (Å): 5.344 5.344 5.344
angles (deg): 60.00 60.00 60.00
Positions (direct):
Dy (0.000, 0.000, 0.000)
Y (0.500, 0.500, 0.500)
Zr (0.750, 0.750, 0.750)
In (0.250, 0.250, 0.250)

Properties
Density of states at the Fermi level = 0.742 states/eV/atom
SG = No. 216
Uncorrected energy = -22.69 eV/cell
Formation enthalpy at 0 K = -0.08 eV/atom
Volume = 108 Å³/cell

Entry 5:
Dy4ZnIn | PBE | relaxed

a b c (Å): 3.566 3.566 12.865
angles (deg): 90.00 90.00 90.00
Positions (direct):
Dy (0.000, 0.000, 0.138)
Dy (0.000, 0.000, 0.862)
Dy (0.500, 0.500, 0.335)
Dy (0.500, 0.500, 0.665)
Zn (0.500, 0.500, 0.000)
In (0.000, 0.000, 0.500)

Properties
Density of states at the Fermi level = 1.104 states/eV/atom
Energy above the lowest structure with this stoichiometry = 0 meV per atom
SG = No. 123
Uncorrected energy = -23.99 eV/cell
Formation enthalpy at 0 K = -0.26 eV/atom
Volume = 164 Å³/cell

Entry 6:
DyZnIn2 | PBE | relaxed

a b c (Å): 3.609 3.609 7.214
angles (deg): 90.00 90.00 90.00
Positions (direct):
Dy (0.000, 0.000, 0.000)
Zn (0.000, 0.000, 0.500)
In (0.500, 0.500, 0.286)
In (0.500, 0.500, 0.714)

Properties
Density of states at the Fermi level = 0.838 states/eV/atom
SG = No. 123
Uncorrected energy = -12.12 eV/cell
Formation enthalpy at 0 K = -0.19 eV/atom
Volume = 94 Å³/cell

Entry 7:
Dy8Zn2In | PBE | relaxed

a b c (Å): 8.463 8.463 8.268
angles (deg): 117.14 117.14 35.55
Positions (direct):
Dy (0.065, 0.065, 0.225)
Dy (0.149, 0.149, 0.709)
Dy (0.314, 0.314, 0.536)
Dy (0.396, 0.396, 0.036)
Dy (0.604, 0.604, 0.964)
Dy (0.686, 0.686, 0.464)
Dy (0.851, 0.851, 0.291)
Dy (0.935, 0.935, 0.775)
Zn (0.219, 0.219, 0.118)
Zn (0.781, 0.781, 0.882)
In (0.500, 0.500, 0.500)

Properties
Density of states at the Fermi level = 0.831 states/eV/atom
Energy above the lowest structure with this stoichiometry = 0 meV per atom
SG = No. 12
Uncorrected energy = -44.35 eV/cell
Formation enthalpy at 0 K = -0.20 eV/atom
Volume = 302 Å³/cell

Entry 8:
Dy8Zn2In | PBE | relaxed

a b c (Å): 8.245 8.245 5.387
angles (deg): 99.87 99.87 115.85
Positions (direct):
Dy (0.085, 0.327, 0.598)
Dy (0.232, 0.768, 0.000)
Dy (0.327, 0.085, 0.598)
Dy (0.395, 0.395, 0.196)
Dy (0.605, 0.605, 0.804)
Dy (0.673, 0.915, 0.402)
Dy (0.768, 0.232, 0.000)
Dy (0.915, 0.673, 0.402)
Zn (0.308, 0.692, 0.500)
Zn (0.692, 0.308, 0.500)
In (0.000, 0.000, 0.000)

Properties
Density of states at the Fermi level = 1.400 states/eV/atom
Energy above the lowest structure with this stoichiometry = 105 meV per atom
SG = No. 12
Uncorrected energy = -43.19 eV/cell
Formation enthalpy at 0 K = -0.10 eV/atom
Volume = 312 Å³/cell

Entry 9:
Dy6ZnIn5 | PBE | relaxed

a b c (Å): 8.374 8.374 7.403
angles (deg): 90.00 90.00 143.14
Positions (direct):
Dy (0.000, 0.000, 0.243)
Dy (0.000, 0.000, 0.757)
Dy (0.337, 0.663, 0.246)
Dy (0.337, 0.663, 0.754)
Dy (0.663, 0.337, 0.246)
Dy (0.663, 0.337, 0.754)
Zn (0.500, 0.500, 0.000)
In (0.166, 0.834, 0.000)
In (0.168, 0.832, 0.500)
In (0.500, 0.500, 0.500)
In (0.832, 0.168, 0.500)
In (0.834, 0.166, 0.000)

Properties
Density of states at the Fermi level = 0.598 states/eV/atom
SG = No. 65
Uncorrected energy = -47.95 eV/cell
Formation enthalpy at 0 K = -0.45 eV/atom
Volume = 311 Å³/cell

Entry 10:
Dy7Zn4In | PBE | relaxed

a b c (Å): 7.536 7.536 8.977
angles (deg): 117.55 117.55 44.22
Positions (direct):
Dy (0.000, 0.000, 0.000)
Dy (0.225, 0.225, 0.685)
Dy (0.314, 0.314, 0.123)
Dy (0.424, 0.424, 0.592)
Dy (0.576, 0.576, 0.408)
Dy (0.686, 0.686, 0.877)
Dy (0.775, 0.775, 0.315)
Zn (0.018, 0.018, 0.674)
Zn (0.187, 0.187, 0.337)
Zn (0.813, 0.813, 0.663)
Zn (0.982, 0.982, 0.326)
In (0.500, 0.500, 0.000)

Properties
Density of states at the Fermi level = 0.936 states/eV/atom
SG = No. 12
Uncorrected energy = -41.43 eV/cell
Formation enthalpy at 0 K = -0.12 eV/atom
Volume = 308 Å³/cell

Entry 11:
Dy4ZnIn | PBE | relaxed

a b c (Å): 5.022 5.022 7.290
angles (deg): 90.00 90.00 90.00
Positions (direct):
Dy (0.000, 0.500, 0.235)
Dy (0.000, 0.500, 0.765)
Dy (0.500, 0.000, 0.235)
Dy (0.500, 0.000, 0.765)
Zn (0.000, 0.000, 0.000)
In (0.500, 0.500, 0.500)

Properties
Density of states at the Fermi level = 1.416 states/eV/atom
Energy above the lowest structure with this stoichiometry = 236 meV per atom
SG = No. 123
Uncorrected energy = -22.57 eV/cell
Formation enthalpy at 0 K = -0.03 eV/atom
Volume = 184 Å³/cell

Entry 12:
Dy4Zn2In5 | PBE | relaxed

a b c (Å): 7.729 3.584 9.811
angles (deg): 90.00 94.28 90.00
Positions (direct):
Dy (0.178, 0.000, 0.373)
Dy (0.254, 0.000, 0.939)
Dy (0.746, 0.000, 0.061)
Dy (0.822, 0.000, 0.627)
Zn (0.063, 0.500, 0.128)
Zn (0.937, 0.500, 0.872)
In (0.175, 0.500, 0.660)
In (0.441, 0.500, 0.188)
In (0.500, 0.500, 0.500)
In (0.559, 0.500, 0.812)
In (0.825, 0.500, 0.340)

Properties
Density of states at the Fermi level = 0.782 states/eV/atom
SG = No. 10
Uncorrected energy = -39.01 eV/cell
Formation enthalpy at 0 K = -0.40 eV/atom
Volume = 271 Å³/cell